# Rb2GaN (PBEsol, relaxed)
data_Rb2GaN
_cell_length_a 7.4032
_cell_length_b 7.4032
_cell_length_c 7.4032
_cell_angle_alpha 90.00
_cell_angle_beta 90.00
_cell_angle_gamma 90.00
_space_group_name_H-M_alt 'F m -3 m'
_space_group_IT_number 225
_space_group_name_Hall '-F 4 2 3'
loop_
_atom_site_label
_atom_site_fract_x
_atom_site_fract_y
_atom_site_fract_z
_atom_site_occupancy
Rb1 0.2500 0.2500 0.2500 1
Ga1 0.0000 0.0000 0.0000 1
N1 0.0000 0.0000 0.5000 1
# Formation energy without anion corrections = 979 meV/atom
# E = -40.0 eV per cell
# Mass density = 4.2 g/cm³